Entry 1:
# KHfPS2, relaxed, DFT PBE
data_KHfPS2
_chemical_formula_sum 'K1 Hf1 P1 S2'
_symmetry_space_group_name_H-M 'P 4/m m m'
_symmetry_Int_Tables_number 123
_symmetry_space_group_name_Hall '-P 4 2'
_cell_length_a 5.0237
_cell_length_b 5.0237
_cell_length_c 5.0710
_cell_angle_alpha 90.00
_cell_angle_beta 90.00
_cell_angle_gamma 90.00
loop_
_atom_site_label
_atom_site_type_symbol
_atom_site_fract_x
_atom_site_fract_y
_atom_site_fract_z
K1 K 0.0000 0.0000 0.0000
Hf1 Hf 0.5000 0.5000 0.5000
P1 P 0.5000 0.5000 0.0000
S1 S 0.0000 0.5000 0.5000
# density: 4.1 g/cm3
# ΔE_f (raw): -795 meV per atom
# DFT total energy: -5.738 eV per atom

=====

Entry 2:
# AcPuAs, relaxed, DFT PBE
data_AcPuAs
_chemical_formula_sum 'Ac1 Pu1 As1'
_symmetry_space_group_name_H-M 'P 3 m 1'
_symmetry_Int_Tables_number 156
_symmetry_space_group_name_Hall 'P 3 -2"'
_cell_length_a 4.8558
_cell_length_b 4.8558
_cell_length_c 4.5208
_cell_angle_alpha 90.00
_cell_angle_beta 90.00
_cell_angle_gamma 120.00
loop_
_atom_site_label
_atom_site_type_symbol
_atom_site_fract_x
_atom_site_fract_y
_atom_site_fract_z
Ac1 Ac 0.0000 0.0000 0.0000
Pu1 Pu 0.6667 0.3333 0.4831
As1 As 0.3333 0.6667 0.6011
# density: 9.8 g/cm3
# energy of formation: -44.3 kJ per mole of atoms
# DFT total energy: -8.156 eV per atom

=====

Entry 3:
# Ce2FeGe3Ir4, relaxed, DFT PBE
data_Ce2FeGe3Ir4
_chemical_formula_sum 'Ce2 Fe1 Ge3 Ir4'
_symmetry_space_group_name_H-M 'P -4 m 2'
_symmetry_Int_Tables_number 115
_symmetry_space_group_name_Hall 'P -4 -2'
_cell_length_a 4.1783
_cell_length_b 4.1783
_cell_length_c 10.3808
_cell_angle_alpha 90.00
_cell_angle_beta 90.00
_cell_angle_gamma 90.00
loop_
_atom_site_label
_atom_site_type_symbol
_atom_site_fract_x
_atom_site_fract_y
_atom_site_fract_z
Ce1 Ce 0.0000 0.5000 0.2445
Fe1 Fe 0.5000 0.5000 0.0000
Ge1 Ge 0.0000 0.0000 0.0000
Ge2 Ge 0.0000 0.5000 0.6317
Ir1 Ir 0.0000 0.0000 0.5000
Ir2 Ir 0.0000 0.5000 0.8677
Ir3 Ir 0.5000 0.5000 0.5000
# density: 12.1 g/cm3
# energy of formation: -66.2 kJ per mole of atoms
# DFT total energy: -7.649 eV per atom

=====

Entry 4:
# KLa2Mg, relaxed, DFT PBE
data_KLa2Mg
_chemical_formula_sum 'K2 La4 Mg2'
_symmetry_space_group_name_H-M 'C m m 2'
_symmetry_Int_Tables_number 35
_symmetry_space_group_name_Hall 'C 2 -2'
_cell_length_a 4.0200
_cell_length_b 6.0095
_cell_length_c 12.7217
_cell_angle_alpha 90.00
_cell_angle_beta 90.00
_cell_angle_gamma 90.00
loop_
_atom_site_label
_atom_site_type_symbol
_atom_site_fract_x
_atom_site_fract_y
_atom_site_fract_z
K1 K 0.0000 0.0000 0.0000
La1 La 0.0000 0.0000 0.4732
La2 La 0.0000 0.5000 0.7046
Mg1 Mg 0.0000 0.5000 0.2554
# density: 3.7 g/cm3
# energy of formation: 19.0 kJ per mole of atoms
# DFT total energy: -2.940 eV per atom

=====

Entry 5:
# La2DyTe2S2, relaxed, DFT PBE
data_La2DyTe2S2
_chemical_formula_sum 'La4 Dy2 Te4 S4'
_symmetry_space_group_name_H-M 'I 4/m m m'
_symmetry_Int_Tables_number 139
_symmetry_space_group_name_Hall '-I 4 2'
_cell_length_a 5.0995
_cell_length_b 5.0995
_cell_length_c 16.2923
_cell_angle_alpha 90.00
_cell_angle_beta 90.00
_cell_angle_gamma 90.00
loop_
_atom_site_label
_atom_site_type_symbol
_atom_site_fract_x
_atom_site_fract_y
_atom_site_fract_z
La1 La 0.0000 0.0000 0.1164
Dy1 Dy 0.0000 0.0000 0.5000
Te1 Te 0.0000 0.0000 0.3154
S1 S 0.0000 0.5000 0.0000
# density: 6.0 g/cm3
# ΔE_f (raw): -1667 meV per atom
# DFT total energy: -5.809 eV per atom

=====

Entry 6:
# ZrTiFe4, relaxed, DFT PBE
data_ZrTiFe4
_chemical_formula_sum 'Zr2 Ti2 Fe8'
_symmetry_space_group_name_H-M 'P -3 m 1'
_symmetry_Int_Tables_number 164
_symmetry_space_group_name_Hall '-P 3 2"'
_cell_length_a 4.8877
_cell_length_b 4.8877
_cell_length_c 7.9487
_cell_angle_alpha 90.00
_cell_angle_beta 90.00
_cell_angle_gamma 120.00
loop_
_atom_site_label
_atom_site_type_symbol
_atom_site_fract_x
_atom_site_fract_y
_atom_site_fract_z
Zr1 Zr 0.3333 0.6667 0.0711
Ti1 Ti 0.3333 0.6667 0.4471
Fe1 Fe 0.0000 0.0000 0.0000
Fe2 Fe 0.0000 0.0000 0.5000
Fe3 Fe 0.1687 0.3375 0.7427
# density: 7.3 g/cm3
# energy of formation: -25.8 kJ per mole of atoms
# DFT total energy: -8.650 eV per atom

=====

Entry 7:
# GaHgNF2, relaxed, DFT PBE
data_GaHgNF2
_chemical_formula_sum 'Ga1 Hg1 N1 F2'
_symmetry_space_group_name_H-M 'P 4/m m m'
_symmetry_Int_Tables_number 123
_symmetry_space_group_name_Hall '-P 4 2'
_cell_length_a 3.9450
_cell_length_b 3.9450
_cell_length_c 4.0899
_cell_angle_alpha 90.00
_cell_angle_beta 90.00
_cell_angle_gamma 90.00
loop_
_atom_site_label
_atom_site_type_symbol
_atom_site_fract_x
_atom_site_fract_y
_atom_site_fract_z
Ga1 Ga 0.0000 0.0000 0.0000
Hg1 Hg 0.5000 0.5000 0.5000
N1 N 0.0000 0.0000 0.5000
F1 F 0.0000 0.5000 0.0000
# density: 8.4 g/cm3
# ΔE_f (raw): -767 meV per atom
# DFT total energy: -3.846 eV per atom

=====

Entry 8:
# AlHPt3, relaxed, DFT PBE
data_AlHPt3
_chemical_formula_sum 'Al1 H1 Pt3'
_symmetry_space_group_name_H-M 'P m -3 m'
_symmetry_Int_Tables_number 221
_symmetry_space_group_name_Hall '-P 4 2 3'
_cell_length_a 3.9956
_cell_length_b 3.9956
_cell_length_c 3.9956
_cell_angle_alpha 90.00
_cell_angle_beta 90.00
_cell_angle_gamma 90.00
loop_
_atom_site_label
_atom_site_type_symbol
_atom_site_fract_x
_atom_site_fract_y
_atom_site_fract_z
Al1 Al 0.0000 0.0000 0.0000
H1 H 0.5000 0.5000 0.5000
Pt1 Pt 0.0000 0.5000 0.5000
# density: 16.0 g/cm3
# DFT total energy: -5.492 eV per atom

=====

Entry 9:
# Mg2TlCd2, relaxed, DFT PBE
data_Mg2TlCd2
_chemical_formula_sum 'Mg8 Tl4 Cd8'
_symmetry_space_group_name_H-M 'C m c m'
_symmetry_Int_Tables_number 63
_symmetry_space_group_name_Hall '-C 2c 2'
_cell_length_a 4.5493
_cell_length_b 23.2587
_cell_length_c 4.4220
_cell_angle_alpha 90.00
_cell_angle_beta 90.00
_cell_angle_gamma 90.00
loop_
_atom_site_label
_atom_site_type_symbol
_atom_site_fract_x
_atom_site_fract_y
_atom_site_fract_z
Mg1 Mg 0.0000 0.1456 0.2500
Mg2 Mg 0.0000 0.2487 0.7500
Tl1 Tl 0.0000 0.3447 0.2500
Cd1 Cd 0.0000 0.0481 0.7500
Cd2 Cd 0.0000 0.4512 0.7500
# density: 6.8 g/cm3
# energy of formation: -1.0 kJ per mole of atoms
# DFT total energy: -1.487 eV per atom

=====

Entry 10:
# NdFeNiP2, relaxed, DFT PBE
data_NdFeNiP2
_chemical_formula_sum 'Nd2 Fe2 Ni2 P4'
_symmetry_space_group_name_H-M 'I -4 m 2'
_symmetry_Int_Tables_number 119
_symmetry_space_group_name_Hall 'I -4 -2'
_cell_length_a 3.9026
_cell_length_b 3.9026
_cell_length_c 9.9562
_cell_angle_alpha 90.00
_cell_angle_beta 90.00
_cell_angle_gamma 90.00
loop_
_atom_site_label
_atom_site_type_symbol
_atom_site_fract_x
_atom_site_fract_y
_atom_site_fract_z
Nd1 Nd 0.0000 0.0000 0.0000
Fe1 Fe 0.0000 0.5000 0.7500
Ni1 Ni 0.0000 0.5000 0.2500
P1 P 0.0000 0.0000 0.3658
# density: 7.0 g/cm3
# energy of formation: -89.6 kJ per mole of atoms
# DFT total energy: -6.895 eV per atom

=====

Entry 11:
# PrCdGa, relaxed, DFT PBE
data_PrCdGa
_chemical_formula_sum 'Pr2 Cd2 Ga2'
_symmetry_space_group_name_H-M 'P 4/n m m'
_symmetry_Int_Tables_number 129
_cell_length_a 4.4717
_cell_length_b 4.4717
_cell_length_c 7.5292
_cell_angle_alpha 90.00
_cell_angle_beta 90.00
_cell_angle_gamma 90.00
loop_
_symmetry_equiv_pos_as_xyz
'x,y,z'
'-x,-y,-z'
'-y+1/2,x,z'
'y+1/2,-x,-z'
'-x+1/2,-y+1/2,z'
'x+1/2,y+1/2,-z'
'y,-x+1/2,z'
'-y,x+1/2,-z'
'x+1/2,-y,-z'
'-x+1/2,y,z'
'-y,-x,-z'
'y,x,z'
'-x,y+1/2,-z'
'x,-y+1/2,z'
'y+1/2,x+1/2,-z'
'-y+1/2,-x+1/2,z'
loop_
_atom_site_label
_atom_site_type_symbol
_atom_site_fract_x
_atom_site_fract_y
_atom_site_fract_z
Pr1 Pr 0.2500 0.2500 0.1682
Cd1 Cd 0.2500 0.7500 0.5000
Ga1 Ga 0.2500 0.2500 0.7495
# density: 7.1 g/cm3
# energy of formation: -44.3 kJ per mole of atoms
# DFT total energy: -3.366 eV per atom

=====

Entry 12:
# PaBC2, relaxed, DFT PBE
data_PaBC2
_chemical_formula_sum 'Pa1 B1 C2'
_symmetry_space_group_name_H-M 'P m m m'
_symmetry_Int_Tables_number 47
_symmetry_space_group_name_Hall '-P 2 2'
_cell_length_a 2.8968
_cell_length_b 3.3392
_cell_length_c 4.4893
_cell_angle_alpha 90.00
_cell_angle_beta 90.00
_cell_angle_gamma 90.00
loop_
_atom_site_label
_atom_site_type_symbol
_atom_site_fract_x
_atom_site_fract_y
_atom_site_fract_z
Pa1 Pa 0.0000 0.0000 0.0000
B1 B 0.0000 0.5000 0.5000
C1 C 0.5000 0.5000 0.3043
# density: 10.2 g/cm3
# energy of formation: 44.8 kJ per mole of atoms
# DFT total energy: -8.191 eV per atom

=====

Entry 13:
# Nd2YScTe4, relaxed, DFT PBE
data_Nd2YScTe4
_chemical_formula_sum 'Nd2 Y1 Sc1 Te4'
_symmetry_space_group_name_H-M 'P 1 2/m 1'
_symmetry_Int_Tables_number 10
_symmetry_space_group_name_Hall '-P 2y'
_cell_length_a 7.5390
_cell_length_b 4.3262
_cell_length_c 7.7280
_cell_angle_alpha 90.00
_cell_angle_beta 108.77
_cell_angle_gamma 90.00
loop_
_atom_site_label
_atom_site_type_symbol
_atom_site_fract_x
_atom_site_fract_y
_atom_site_fract_z
Nd1 Nd 0.0000 0.0000 0.0000
Nd2 Nd 0.5000 0.5000 0.0000
Y1 Y 0.0000 0.5000 0.5000
Sc1 Sc 0.5000 0.0000 0.5000
Te1 Te 0.2516 0.0000 0.7337
Te2 Te 0.2644 0.5000 0.2715
# density: 6.5 g/cm3
# ΔE_f (raw): -1307 meV per atom
# DFT total energy: -5.670 eV per atom

=====

Entry 14:
# Zn2BiSe2, relaxed, DFT PBE
data_Zn2BiSe2
_chemical_formula_sum 'Zn4 Bi2 Se4'
_symmetry_space_group_name_H-M 'I 4/m m m'
_symmetry_Int_Tables_number 139
_symmetry_space_group_name_Hall '-I 4 2'
_cell_length_a 3.9026
_cell_length_b 3.9026
_cell_length_c 18.8985
_cell_angle_alpha 90.00
_cell_angle_beta 90.00
_cell_angle_gamma 90.00
loop_
_atom_site_label
_atom_site_type_symbol
_atom_site_fract_x
_atom_site_fract_y
_atom_site_fract_z
Zn1 Zn 0.0000 0.5000 0.2500
Bi1 Bi 0.0000 0.0000 0.0000
Se1 Se 0.0000 0.0000 0.3342
# density: 5.7 g/cm3
# ΔE_f (raw): -113 meV per atom
# DFT total energy: -2.793 eV per atom

=====

Entry 15:
# CsMgTa, relaxed, DFT PBE
data_CsMgTa
_chemical_formula_sum 'Cs2 Mg2 Ta2'
_symmetry_space_group_name_H-M 'P 63 m c'
_symmetry_Int_Tables_number 186
_symmetry_space_group_name_Hall 'P 6c -2c'
_cell_length_a 5.5370
_cell_length_b 5.5370
_cell_length_c 6.3888
_cell_angle_alpha 90.00
_cell_angle_beta 90.00
_cell_angle_gamma 120.00
loop_
_atom_site_label
_atom_site_type_symbol
_atom_site_fract_x
_atom_site_fract_y
_atom_site_fract_z
Cs1 Cs 0.0000 0.0000 0.0000
Mg1 Mg 0.3333 0.6667 0.3200
Ta1 Ta 0.3333 0.6667 0.8305
# density: 6.6 g/cm3
# energy of formation: 170.9 kJ per mole of atoms
# DFT total energy: -2.996 eV per atom

=====

Entry 16:
# Nd3ErTh2, relaxed, DFT PBE
data_Nd3ErTh2
_chemical_formula_sum 'Nd6 Er2 Th4'
_symmetry_space_group_name_H-M 'C m m m'
_symmetry_Int_Tables_number 65
_symmetry_space_group_name_Hall '-C 2 2'
_cell_length_a 5.1095
_cell_length_b 15.2663
_cell_length_c 5.1425
_cell_angle_alpha 90.00
_cell_angle_beta 90.00
_cell_angle_gamma 90.00
loop_
_atom_site_label
_atom_site_type_symbol
_atom_site_fract_x
_atom_site_fract_y
_atom_site_fract_z
Nd1 Nd 0.0000 0.0000 0.0000
Nd2 Nd 0.0000 0.1686 0.5000
Er1 Er 0.0000 0.5000 0.5000
Th1 Th 0.0000 0.3328 0.0000
# density: 8.8 g/cm3
# energy of formation: 6.4 kJ per mole of atoms
# DFT total energy: -5.551 eV per atom

=====

Entry 17:
# AlIrSe2Br, relaxed, DFT PBE
data_AlIrSe2Br
_chemical_formula_sum 'Al1 Ir1 Se2 Br1'
_symmetry_space_group_name_H-M 'P 4/m m m'
_symmetry_Int_Tables_number 123
_symmetry_space_group_name_Hall '-P 4 2'
_cell_length_a 4.8804
_cell_length_b 4.8804
_cell_length_c 5.3526
_cell_angle_alpha 90.00
_cell_angle_beta 90.00
_cell_angle_gamma 90.00
loop_
_atom_site_label
_atom_site_type_symbol
_atom_site_fract_x
_atom_site_fract_y
_atom_site_fract_z
Al1 Al 0.0000 0.0000 0.0000
Ir1 Ir 0.5000 0.5000 0.5000
Se1 Se 0.0000 0.5000 0.5000
Br1 Br 0.5000 0.5000 0.0000
# density: 6.0 g/cm3
# ΔE_f (raw): 377 meV per atom
# DFT total energy: -3.872 eV per atom

=====

Entry 18:
# Ce3Tm, relaxed, DFT PBE
data_Ce3Tm
_chemical_formula_sum 'Ce3 Tm1'
_symmetry_space_group_name_H-M 'P m m 2'
_symmetry_Int_Tables_number 25
_symmetry_space_group_name_Hall 'P 2 -2'
_cell_length_a 3.3015
_cell_length_b 4.4102
_cell_length_c 7.5964
_cell_angle_alpha 90.00
_cell_angle_beta 90.00
_cell_angle_gamma 90.00
loop_
_atom_site_label
_atom_site_type_symbol
_atom_site_fract_x
_atom_site_fract_y
_atom_site_fract_z
Ce1 Ce 0.0000 0.0000 0.0000
Ce2 Ce 0.0000 0.5000 0.2345
Ce3 Ce 0.5000 0.5000 0.7947
Tm1 Tm 0.5000 0.0000 0.4866
# density: 8.8 g/cm3
# energy of formation: 23.5 kJ per mole of atoms
# DFT total energy: -5.325 eV per atom

=====

Entry 19:
# TiW2Br, relaxed, DFT PBE
data_TiW2Br
_chemical_formula_sum 'Ti4 W8 Br4'
_symmetry_space_group_name_H-M 'I -4 2 d'
_symmetry_Int_Tables_number 122
_symmetry_space_group_name_Hall 'I -4 2bw'
_cell_length_a 3.7309
_cell_length_b 3.7309
_cell_length_c 20.8375
_cell_angle_alpha 90.00
_cell_angle_beta 90.00
_cell_angle_gamma 90.00
loop_
_atom_site_label
_atom_site_type_symbol
_atom_site_fract_x
_atom_site_fract_y
_atom_site_fract_z
Ti1 Ti 0.0000 0.0000 0.0000
W1 W 0.2383 0.2500 0.1250
Br1 Br 0.0000 0.0000 0.5000
# density: 11.3 g/cm3
# ΔE_f (raw): 891 meV per atom
# DFT total energy: -7.977 eV per atom

=====

Entry 20:
# ScRe2Ni, relaxed, DFT PBE
data_ScRe2Ni
_chemical_formula_sum 'Sc1 Re2 Ni1'
_symmetry_space_group_name_H-M 'P 4/m m m'
_symmetry_Int_Tables_number 123
_symmetry_space_group_name_Hall '-P 4 2'
_cell_length_a 3.1489
_cell_length_b 3.1489
_cell_length_c 6.2986
_cell_angle_alpha 90.00
_cell_angle_beta 90.00
_cell_angle_gamma 90.00
loop_
_atom_site_label
_atom_site_type_symbol
_atom_site_fract_x
_atom_site_fract_y
_atom_site_fract_z
Sc1 Sc 0.0000 0.0000 0.0000
Re1 Re 0.5000 0.5000 0.3041
Ni1 Ni 0.0000 0.0000 0.5000
# density: 12.7 g/cm3
# energy of formation: 15.5 kJ per mole of atoms
# DFT total energy: -9.091 eV per atom

=====

For the records above, the corresponding N(E_F) values read 0.74, 3.25, 0.88, 1.28, 0.47, 0.76, 0.19, 0.08, 0.41, 0.44, 0.48, 0.77, 0.62, 0.28, 0.34, 1.38, 1.19, 2.70, 1.24, 1.00 states/eV/atom.